Below is crystalline CsCeCl3 at its relaxed geometry, with properties calculated at the GGA-PBE level.

Cell lengths 5.655, 5.655, 5.655 Å; angles 90.00, 90.00, 90.00 degrees
Each line ends with the local moment (μB).
Atoms (fractional coordinates):
Cs  0.500  0.500  0.500  0.01
Cl  0.000  0.000  0.500  -0.02
Cl  0.000  0.500  0.000  -0.02
Cl  0.500  0.000  0.000  -0.02
Ce  0.000  0.000  0.000  1.48

Summary:
Formation energy without anion corrections: -9.50 eV per formula unit
Electronic total energy: -0.160 Ha/atom
SG: Pm-3m, No. 221
Polymorph energy (0 for the lowest one): 53.3 meV per atom